# 1
Compound: KY2Cu
Source: the Alexandria database
Functional: PBE
Structure: relaxed

Cell lengths 7.0188, 7.0188, 7.0188 Å; angles 151.57, 129.41, 59.06 degrees
Closest atoms and distances in Å follow each position.
Fractional positions:
K1 0.0000 0.0000 0.0000  2 K 3.45, 4 Cu 3.46, 4 Y 3.81
Y1 0.3073 0.8073 0.5000  2 Cu 2.92
Y2 0.6927 0.1927 0.5000  2 Cu 2.92
Cu1 0.5000 0.5000 0.0000  4 Y 2.92

Results
* E: -4.225 eV per atom
* E_form: 0.305 eV/atom
* theoretical density: 3.69 g/cm³
* relative energy among the computed polymorphs: 187 meV per atom
* space group: Immm, No. 71



# 2
Compound: AlGaBi
Source: the Alexandria database
Functional: PBE
Structure: relaxed

Cell lengths 4.1694, 4.1694, 4.8680 Å; angles 90.00, 90.00, 120.00 degrees
Closest atoms and distances in Å follow each position.
Fractional positions:
Al1 0.0000 0.0000 0.0000  3 Ga 2.70, 3 Bi 2.98
Ga1 0.6667 0.3333 0.2513  3 Al 2.70
Bi1 0.3333 0.6667 0.6408  3 Al 2.98, 3 Ga 3.06

Results
* E: -3.383 eV per atom
* E_form: 0.168 eV/atom
* theoretical density: 6.93 g/cm³
* relative energy among the computed polymorphs: 69 meV per atom
* space group: P3m1, No. 156



# 3
Compound: TiGaTe2N
Source: the Alexandria database
Functional: PBE
Structure: relaxed

Cell lengths 5.6950, 5.6950, 3.7004 Å; angles 90.00, 90.00, 90.00 degrees
Closest atoms and distances in Å follow each position.
Fractional positions:
Ti1 0.0000 0.0000 0.0000  2 N 1.85
Ga1 0.5000 0.5000 0.5000  8 Te 3.40, 2 Ga 3.70
Te1 0.0000 0.5000 0.0000  2 Ti 2.85
Te2 0.5000 0.0000 0.0000  2 Ti 2.85
N1 0.0000 0.0000 0.5000  2 Ti 1.85

Results
* E: -5.186 eV per atom
* theoretical density: 5.35 g/cm³
* relative energy among the computed polymorphs: 0 meV per atom
* space group: P4/mmm, No. 123
* formation energy from raw total energies: -0.080 eV/atom



# 4
Compound: MnGaCu2Os
Source: the Alexandria database
Functional: PBE
Structure: relaxed

Cell lengths 4.7956, 4.7956, 4.3961 Å; angles 90.00, 90.00, 90.00 degrees
Closest atoms and distances in Å follow each position.
Fractional positions:
Mn1 0.0000 0.0000 0.0000  2 Os 2.20
Ga1 0.5000 0.5000 0.0000  8 Cu 3.25, 4 Mn 3.39
Cu1 0.0000 0.5000 0.5000  2 Os 2.40
Cu2 0.5000 0.0000 0.5000  2 Os 2.40
Os1 0.0000 0.0000 0.5000  2 Mn 2.20, 4 Cu 2.40

Results
* E: -5.165 eV per atom
* E_form: 1.159 eV/atom
* theoretical density: 7.26 g/cm³
* space group: P4/mmm, No. 123



# 5
Compound: Zn6Sb
Source: the Alexandria database
Functional: PBE
Structure: relaxed

Cell lengths 6.0121, 6.0121, 6.0121 Å; angles 109.47, 109.47, 109.47 degrees
Closest atoms and distances in Å follow each position.
Fractional positions:
Zn1 0.2500 0.5000 0.7500  4 Zn 2.45
Zn2 0.2500 0.7500 0.5000  4 Zn 2.45
Zn3 0.5000 0.2500 0.7500  4 Zn 2.45
Zn4 0.5000 0.7500 0.2500  4 Zn 2.45
Zn5 0.7500 0.2500 0.5000  4 Zn 2.45
Zn6 0.7500 0.5000 0.2500  4 Zn 2.45
Sb1 0.0000 0.0000 0.0000  24 Zn 3.88

Results
* E: -1.156 eV per atom
* theoretical density: 5.10 g/cm³
* space group: Im-3m, No. 229
* formation energy from raw total energies: 0.525 eV/atom



# 6
Compound: RbSeF4
Source: the Alexandria database
Functional: PBE
Structure: relaxed

Cell lengths 7.8542, 7.8542, 6.1353 Å; angles 90.00, 90.00, 144.22 degrees
Closest atoms and distances in Å follow each position.
Fractional positions:
Rb1 0.1199 0.8801 0.7500  13 F 3.09-3.37
Rb2 0.8801 0.1199 0.2500  13 F 3.09-3.37
Se1 0.3990 0.6010 0.7500  2 F 1.85
Se2 0.6010 0.3990 0.2500  2 F 1.85
F1 0.0938 0.9062 0.2500  2 Se 2.42
F2 0.3129 0.6871 0.5339  1 Se 1.85
F3 0.3129 0.6871 0.9661  1 Se 1.85
F4 0.5000 0.5000 0.0000  2 Se 2.15
F5 0.5000 0.5000 0.5000  2 Se 2.15
F6 0.6871 0.3129 0.0339  1 Se 1.85
F7 0.6871 0.3129 0.4661  1 Se 1.85
F8 0.9062 0.0938 0.7500  2 Se 2.42

Results
* E: -3.906 eV per atom
* theoretical density: 3.61 g/cm³
* relative energy among the computed polymorphs: 32 meV per atom
* space group: Cmcm, No. 63
* formation energy from raw total energies: -1.916 eV/atom



# 7
Compound: LiTbTlRh
Source: the Alexandria database
Functional: PBE
Structure: relaxed

Cell lengths 4.8029, 4.8029, 4.8029 Å; angles 60.00, 60.00, 60.00 degrees
Closest atoms and distances in Å follow each position.
Fractional positions:
Li1 0.0000 0.0000 0.0000  4 Tl 2.94, 4 Tb 2.94
Tb1 0.2500 0.2500 0.2500  4 Rh 2.94, 4 Li 2.94
Tl1 0.7500 0.7500 0.7500  4 Rh 2.94, 4 Li 2.94
Rh1 0.5000 0.5000 0.5000  4 Tl 2.94, 4 Tb 2.94

Results
* E: -4.468 eV per atom
* E_form: -0.403 eV/atom
* theoretical density: 10.03 g/cm³
* space group: F-43m, No. 216



# 8
Compound: Li3LaHo2Te6
Source: the Alexandria database
Functional: PBE
Structure: relaxed

Cell lengths 7.6329, 7.6329, 7.5024 Å; angles 99.77, 99.77, 120.01 degrees
Closest atoms and distances in Å follow each position.
Fractional positions:
Li1 0.0000 0.0000 0.0000  6 Te 2.98-3.11
Li2 0.3338 0.6662 0.0000  6 Te 3.00-3.11
Li3 0.6662 0.3338 0.0000  6 Te 3.00-3.11
La1 0.5000 0.5000 0.5000  6 Te 3.20-3.21
Ho1 0.1667 0.8333 0.5000  6 Te 3.09
Ho2 0.8333 0.1667 0.5000  6 Te 3.09
Te1 0.0687 0.4144 0.2433  3 Li 3.00-3.11, 2 Ho 3.09, 1 La 3.20
Te2 0.2405 0.2405 0.7585  3 Li 2.98-3.10, 2 Ho 3.09, 1 La 3.21
Te3 0.4144 0.0687 0.2433  3 Li 3.00-3.11, 2 Ho 3.09, 1 La 3.20
Te4 0.5856 0.9313 0.7567  3 Li 3.00-3.11, 2 Ho 3.09, 1 La 3.20
Te5 0.7595 0.7595 0.2415  3 Li 2.98-3.10, 2 Ho 3.09, 1 La 3.21
Te6 0.9313 0.5856 0.7567  3 Li 3.00-3.11, 2 Ho 3.09, 1 La 3.20

Results
* E: -4.534 eV per atom
* theoretical density: 5.85 g/cm³
* space group: C2/m, No. 12
* formation energy from raw total energies: -1.311 eV/atom



# 9
Compound: HfMn3Pt
Source: the Alexandria database
Functional: PBE
Structure: relaxed

Cell lengths 4.3871, 4.3871, 4.3871 Å; angles 90.00, 90.00, 90.00 degrees
Closest atoms and distances in Å follow each position.
Fractional positions:
Hf1 0.0000 0.0000 0.0000  6 Mn 2.19
Mn1 0.0000 0.0000 0.5000  2 Hf 2.19
Mn2 0.0000 0.5000 0.0000  2 Hf 2.19
Mn3 0.5000 0.0000 0.0000  2 Hf 2.19
Pt1 0.5000 0.5000 0.5000  12 Mn 3.10

Results
* E: -6.806 eV per atom
* E_form: 1.895 eV/atom
* theoretical density: 10.59 g/cm³
* relative energy among the computed polymorphs: 1048 meV per atom
* space group: Pm-3m, No. 221



# 10
Compound: Ag2TeO4
Source: the Alexandria database
Functional: PBE
Structure: relaxed

Cell lengths 7.0020, 7.0020, 7.0020 Å; angles 147.55, 147.55, 46.55 degrees
Closest atoms and distances in Å follow each position.
Fractional positions:
Ag1 0.1728 0.1728 0.0000  1 O 2.30
Ag2 0.8272 0.8272 0.0000  1 O 2.30
Te1 0.5000 0.5000 0.0000  6 O 1.91-1.96
O1 0.0000 0.5000 0.5000  2 Te 1.96
O2 0.3515 0.3515 0.0000  1 Te 1.91
O3 0.5000 0.0000 0.5000  2 Te 1.96
O4 0.6485 0.6485 0.0000  1 Te 1.91

Results
* E: -4.498 eV per atom
* theoretical density: 6.87 g/cm³
* relative energy among the computed polymorphs: 161 meV per atom
* space group: I4/mmm, No. 139
* formation energy from raw total energies: -0.401 eV/atom



# 11
Compound: CaMgIn2
Source: the Alexandria database
Functional: PBE
Structure: relaxed

Cell lengths 3.9634, 3.9634, 6.9746 Å; angles 90.00, 90.00, 90.00 degrees
Closest atoms and distances in Å follow each position.
Fractional positions:
Ca1 0.0000 0.0000 0.0000  6 In 3.34-3.52, 4 Mg 3.47
Mg1 0.5000 0.5000 0.7076  5 In 3.11-3.14, 4 Ca 3.47
In1 0.0000 0.0000 0.5040  4 Mg 3.14, 4 In 3.27, 2 Ca 3.46-3.52
In2 0.5000 0.5000 0.2617  1 Mg 3.11, 4 In 3.27, 4 Ca 3.34

Results
* E: -2.446 eV per atom
* E_form: -0.178 eV/atom
* theoretical density: 4.46 g/cm³
* space group: P4mm, No. 99



# 12
Compound: Hf2PaPd9
Source: the Alexandria database
Functional: PBE
Structure: relaxed

Cell lengths 4.0759, 4.0759, 12.1352 Å; angles 90.00, 90.00, 90.00 degrees
Closest atoms and distances in Å follow each position.
Fractional positions:
Hf1 0.0000 0.0000 0.1622  12 Pd 2.83-2.88
Hf2 0.0000 0.0000 0.8378  12 Pd 2.83-2.88
Pa1 0.0000 0.0000 0.5000  12 Pd 2.88-2.94
Pd1 0.0000 0.5000 0.0000  8 Pd 2.83-2.88, 4 Hf 2.83
Pd2 0.0000 0.5000 0.3255  2 Hf 2.84, 8 Pd 2.84-2.94, 2 Pa 2.94
Pd3 0.0000 0.5000 0.6745  2 Hf 2.84, 8 Pd 2.84-2.94, 2 Pa 2.94
Pd4 0.5000 0.0000 0.0000  8 Pd 2.83-2.88, 4 Hf 2.83
Pd5 0.5000 0.0000 0.3255  2 Hf 2.84, 8 Pd 2.84-2.94, 2 Pa 2.94
Pd6 0.5000 0.0000 0.6745  2 Hf 2.84, 8 Pd 2.84-2.94, 2 Pa 2.94
Pd7 0.5000 0.5000 0.1622  8 Pd 2.83-2.84, 4 Hf 2.88
Pd8 0.5000 0.5000 0.5000  4 Pa 2.88, 8 Pd 2.94
Pd9 0.5000 0.5000 0.8378  8 Pd 2.83-2.84, 4 Hf 2.88

Results
* E: -7.127 eV per atom
* E_form: -0.782 eV/atom
* theoretical density: 12.73 g/cm³
* space group: P4/mmm, No. 123



# 13
Compound: LiFeRhC2
Source: the Alexandria database
Functional: PBE
Structure: relaxed

Cell lengths 3.9079, 3.9079, 4.9032 Å; angles 90.00, 90.00, 90.00 degrees
Closest atoms and distances in Å follow each position.
Fractional positions:
Li1 0.0000 0.0000 0.0000  4 Fe 2.76
Fe1 0.5000 0.5000 0.0000  2 Rh 2.45
Rh1 0.5000 0.5000 0.5000  4 C 1.95
C1 0.0000 0.5000 0.5000  2 Rh 1.95
C2 0.5000 0.0000 0.5000  2 Rh 1.95

Results
* E: -5.703 eV per atom
* E_form: 1.532 eV/atom
* theoretical density: 4.21 g/cm³
* space group: P4/mmm, No. 123



# 14
Compound: CoNi2Rh
Source: the Alexandria database
Functional: PBE
Structure: relaxed

Cell lengths 3.6011, 3.6011, 3.6930 Å; angles 90.00, 90.00, 90.00 degrees
Closest atoms and distances in Å follow each position.
Fractional positions:
Co1 0.0000 0.0000 0.0000  4 Rh 2.55, 8 Ni 2.58
Ni1 0.0000 0.5000 0.5000  4 Ni 2.55, 4 Co 2.58, 4 Rh 2.58
Ni2 0.5000 0.0000 0.5000  4 Ni 2.55, 4 Co 2.58, 4 Rh 2.58
Rh1 0.5000 0.5000 0.0000  4 Co 2.55, 8 Ni 2.58

Results
* E: -6.469 eV per atom
* E_form: 0.036 eV/atom
* theoretical density: 9.68 g/cm³
* relative energy among the computed polymorphs: 24 meV per atom
* space group: P4/mmm, No. 123



# 15
Compound: NbZnPCl2
Source: the Alexandria database
Functional: PBE
Structure: relaxed

Cell lengths 4.8805, 4.8805, 4.9663 Å; angles 90.00, 90.00, 90.00 degrees
Closest atoms and distances in Å follow each position.
Fractional positions:
Nb1 0.0000 0.0000 0.0000  4 Cl 2.44, 2 P 2.48
Zn1 0.5000 0.5000 0.5000  4 P 3.45, 8 Cl 3.48
P1 0.0000 0.0000 0.5000  2 Nb 2.48
Cl1 0.0000 0.5000 0.0000  2 Nb 2.44
Cl2 0.5000 0.0000 0.0000  2 Nb 2.44

Results
* E: -4.273 eV per atom
* theoretical density: 3.65 g/cm³
* relative energy among the computed polymorphs: 0 meV per atom
* space group: P4/mmm, No. 123
* formation energy from raw total energies: -0.183 eV/atom



# 16
Compound: Pu2Ge4IrPt3
Source: the Alexandria database
Functional: PBE
Structure: relaxed

Cell lengths 4.1883, 4.1883, 10.7177 Å; angles 90.00, 90.00, 90.00 degrees
Closest atoms and distances in Å follow each position.
Fractional positions:
Pu1 0.0000 0.5000 0.2479  8 Ge 3.20-3.42, 6 Pt 3.21-3.38, 2 Ir 3.38
Pu2 0.5000 0.0000 0.7521  8 Ge 3.20-3.42, 6 Pt 3.21-3.38, 2 Ir 3.38
Ge1 0.0000 0.0000 0.5000  4 Pt 2.56
Ge2 0.0000 0.5000 0.8663  3 Pt 2.46-2.54, 2 Ir 2.54
Ge3 0.5000 0.0000 0.1337  3 Pt 2.46-2.54, 2 Ir 2.54
Ge4 0.5000 0.5000 0.5000  4 Pt 2.56
Ir1 0.5000 0.5000 0.0000  4 Ge 2.54
Pt1 0.0000 0.0000 0.0000  4 Ge 2.54
Pt2 0.0000 0.5000 0.6366  5 Ge 2.46-2.56
Pt3 0.5000 0.0000 0.3634  5 Ge 2.46-2.56

Results
* E: -8.076 eV per atom
* E_form: -0.664 eV/atom
* theoretical density: 13.74 g/cm³
* space group: P-4m2, No. 115



# 17
Compound: Pu2SeS
Source: the Alexandria database
Functional: PBE
Structure: relaxed

Cell lengths 7.0387, 7.0387, 7.0387 Å; angles 33.49, 33.49, 33.49 degrees
Closest atoms and distances in Å follow each position.
Fractional positions:
Pu1 0.2450 0.2450 0.2450  3 S 2.81, 3 Se 2.93
Pu2 0.7550 0.7550 0.7550  3 S 2.81, 3 Se 2.93
Se1 0.0000 0.0000 0.0000  6 Pu 2.93
S1 0.5000 0.5000 0.5000  6 Pu 2.81

Results
* E: -10.706 eV per atom
* theoretical density: 10.52 g/cm³
* relative energy among the computed polymorphs: 0 meV per atom
* space group: R-3m, No. 166
* formation energy from raw total energies: -1.637 eV/atom



# 18
Compound: Ni7Pd
Source: the Alexandria database
Functional: PBE
Structure: relaxed

Cell lengths 5.0775, 5.0775, 5.0775 Å; angles 60.00, 60.00, 60.00 degrees
Closest atoms and distances in Å follow each position.
Fractional positions:
Ni1 0.0000 0.0000 0.0000  12 Ni 2.54
Ni2 0.0000 0.0000 0.5000  10 Ni 2.54, 2 Pd 2.54
Ni3 0.0000 0.5000 0.0000  10 Ni 2.54, 2 Pd 2.54
Ni4 0.0000 0.5000 0.5000  2 Pd 2.54, 10 Ni 2.54
Ni5 0.5000 0.0000 0.0000  10 Ni 2.54, 2 Pd 2.54
Ni6 0.5000 0.0000 0.5000  2 Pd 2.54, 10 Ni 2.54
Ni7 0.5000 0.5000 0.0000  2 Pd 2.54, 10 Ni 2.54
Pd1 0.5000 0.5000 0.5000  12 Ni 2.54

Results
* E: -5.670 eV per atom
* E_form: 0.037 eV/atom
* theoretical density: 9.28 g/cm³
* relative energy among the computed polymorphs: 0 meV per atom
* space group: Fm-3m, No. 225



# 19
Compound: NdHo2TmAg4
Source: the Alexandria database
Functional: PBE
Structure: relaxed

Cell lengths 8.9761, 8.9761, 8.9761 Å; angles 33.34, 33.34, 33.34 degrees
Closest atoms and distances in Å follow each position.
Fractional positions:
Nd1 0.0000 0.0000 0.0000  8 Ag 3.19-3.24
Ho1 0.2486 0.2486 0.2486  8 Ag 3.08-3.32
Ho2 0.7514 0.7514 0.7514  8 Ag 3.08-3.32
Tm1 0.5000 0.5000 0.5000  8 Ag 3.06-3.14
Ag1 0.1273 0.1273 0.1273  4 Ho 3.08-3.16, 3 Tm 3.14, 1 Nd 3.24
Ag2 0.3794 0.3794 0.3794  1 Tm 3.06, 4 Ho 3.13-3.32, 3 Nd 3.19
Ag3 0.6206 0.6206 0.6206  1 Tm 3.06, 4 Ho 3.13-3.32, 3 Nd 3.19
Ag4 0.8727 0.8727 0.8727  4 Ho 3.08-3.16, 3 Tm 3.14, 1 Nd 3.24

Results
* E: -4.031 eV per atom
* E_form: -0.306 eV/atom
* theoretical density: 9.17 g/cm³
* space group: R-3m, No. 166



# 20
Compound: LiY2Ru
Source: the Alexandria database
Functional: PBE
Structure: relaxed

Cell lengths 3.4882, 3.4882, 7.2732 Å; angles 90.00, 90.00, 90.00 degrees
Closest atoms and distances in Å follow each position.
Fractional positions:
Li1 0.0000 0.0000 0.0000  4 Ru 2.67, 1 Y 2.70
Y1 0.0000 0.0000 0.3710  1 Li 2.70, 4 Ru 2.98
Y2 0.5000 0.5000 0.7670  1 Ru 2.72, 4 Li 2.99
Ru1 0.5000 0.5000 0.1412  4 Li 2.67, 5 Y 2.72-2.98

Results
* E: -6.000 eV per atom
* E_form: 0.029 eV/atom
* theoretical density: 5.36 g/cm³
* relative energy among the computed polymorphs: 295 meV per atom
* space group: P4mm, No. 99